1.
# RbScBe2Si

RbScBe2Si after structural relaxation (GGA-PBE, Alexandria via LeMat-Bulk).

CIF file:
```
data_RbScBe2Si
_symmetry_space_group_name_H-M 'P 1'
_symmetry_Int_Tables_number 1
_cell_length_a 4.392
_cell_length_b 5.793
_cell_length_c 4.392
_cell_angle_alpha 90.00
_cell_angle_beta 90.00
_cell_angle_gamma 90.00
loop_
_symmetry_equiv_pos_as_xyz
'x,y,z'
loop_
_atom_site_label
_atom_site_type_symbol
_atom_site_fract_x
_atom_site_fract_y
_atom_site_fract_z
_atom_site_occupancy
Sc1 Sc 0.500 0.500 0.500 1
Be1 Be 0.000 0.000 0.500 1
Be2 Be 0.500 0.000 0.000 1
Si1 Si 0.000 0.000 0.000 1
Rb1 Rb 0.000 0.500 0.000 1
```

Its formation energy without anion corrections is 1.14 eV/atom. The value obtained for the total magnetization is 0.000 Bohr magnetons per cell. The density of states at the Fermi level is 0.404 states/eV/atom.

---

2.
# RbScBe2Te

RbScBe2Te after structural relaxation (GGA-PBE, Alexandria via LeMat-Bulk).

CIF file:
```
data_RbScBe2Te
_symmetry_space_group_name_H-M 'P 1'
_symmetry_Int_Tables_number 1
_cell_length_a 5.096
_cell_length_b 6.406
_cell_length_c 5.096
_cell_angle_alpha 90.00
_cell_angle_beta 90.00
_cell_angle_gamma 90.00
loop_
_symmetry_equiv_pos_as_xyz
'x,y,z'
loop_
_atom_site_label
_atom_site_type_symbol
_atom_site_fract_x
_atom_site_fract_y
_atom_site_fract_z
_atom_site_occupancy
Sc1 Sc 0.000 0.000 0.000 1
Be1 Be 0.000 0.000 0.500 1
Be2 Be 0.500 0.000 0.000 1
Te1 Te 0.500 0.500 0.500 1
Rb1 Rb 0.000 0.500 0.000 1
```

Its formation energy without anion corrections is 1.21 eV/atom. The value obtained for the total magnetization is 0.370 Bohr magnetons per cell. The density of states at the Fermi level is 0.864 states/eV/atom.

---

3.
# Rb2ScTiBe

Rb2ScTiBe after structural relaxation (GGA-PBE, Alexandria via LeMat-Bulk).

CIF file:
```
data_Rb2ScTiBe
_symmetry_space_group_name_H-M 'P 1'
_symmetry_Int_Tables_number 1
_cell_length_a 7.038
_cell_length_b 5.379
_cell_length_c 7.038
_cell_angle_alpha 90.00
_cell_angle_beta 90.00
_cell_angle_gamma 90.00
loop_
_symmetry_equiv_pos_as_xyz
'x,y,z'
loop_
_atom_site_label
_atom_site_type_symbol
_atom_site_fract_x
_atom_site_fract_y
_atom_site_fract_z
_atom_site_occupancy
Sc1 Sc 0.000 0.500 0.000 1
Be1 Be 0.500 0.500 0.500 1
Rb1 Rb 0.000 0.000 0.500 1
Rb2 Rb 0.500 0.000 0.000 1
Ti1 Ti 0.000 0.000 0.000 1
```

The value obtained for the total magnetization is 5.087 Bohr magnetons per cell. As for the formation energy: 1.592 eV per atom. The density of states at the Fermi level is 1.628 states/eV/atom.

---

4.
# Rb3Be2Se4

Rb3Be2Se4 after structural relaxation (GGA-PBE, Alexandria via LeMat-Bulk).

CIF file:
```
data_Rb3Be2Se4
_symmetry_space_group_name_H-M 'P 1'
_symmetry_Int_Tables_number 1
_cell_length_a 6.465
_cell_length_b 9.815
_cell_length_c 9.815
_cell_angle_alpha 67.43
_cell_angle_beta 91.74
_cell_angle_gamma 91.74
loop_
_symmetry_equiv_pos_as_xyz
'x,y,z'
loop_
_atom_site_label
_atom_site_type_symbol
_atom_site_fract_x
_atom_site_fract_y
_atom_site_fract_z
_atom_site_occupancy
Rb1 Rb 0.961 0.973 0.716 1
Rb2 Rb 0.539 0.284 0.027 1
Rb3 Rb 0.039 0.027 0.284 1
Rb4 Rb 0.461 0.716 0.973 1
Rb5 Rb 0.250 0.365 0.635 1
Rb6 Rb 0.750 0.635 0.365 1
Be1 Be 0.473 0.852 0.582 1
Be2 Be 0.027 0.418 0.148 1
Be3 Be 0.527 0.148 0.418 1
Be4 Be 0.973 0.582 0.852 1
Se1 Se 0.470 0.039 0.660 1
Se2 Se 0.030 0.340 0.961 1
Se3 Se 0.530 0.961 0.340 1
Se4 Se 0.970 0.660 0.039 1
Se5 Se 0.158 0.694 0.643 1
Se6 Se 0.342 0.357 0.306 1
Se7 Se 0.842 0.306 0.357 1
Se8 Se 0.658 0.643 0.694 1
```

Its formation energy without anion corrections is -0.89 eV/atom. The value obtained for the total magnetization is 0.001 Bohr magnetons per cell. The density of states at the Fermi level is 0.209 states/eV/atom.

---

5.
# Rb3BeSe3

Rb3BeSe3 after structural relaxation (GGA-PBE, Alexandria via LeMat-Bulk).

CIF file:
```
data_Rb3BeSe3
_symmetry_space_group_name_H-M 'P 1'
_symmetry_Int_Tables_number 1
_cell_length_a 7.665
_cell_length_b 9.685
_cell_length_c 13.146
_cell_angle_alpha 97.89
_cell_angle_beta 90.00
_cell_angle_gamma 90.00
loop_
_symmetry_equiv_pos_as_xyz
'x,y,z'
loop_
_atom_site_label
_atom_site_type_symbol
_atom_site_fract_x
_atom_site_fract_y
_atom_site_fract_z
_atom_site_occupancy
Rb1 Rb 0.845 0.941 0.870 1
Rb2 Rb 0.655 0.941 0.370 1
Rb3 Rb 0.181 0.680 0.701 1
Rb4 Rb 0.712 0.622 0.574 1
Rb5 Rb 0.319 0.680 0.201 1
Rb6 Rb 0.788 0.622 0.074 1
Rb7 Rb 0.212 0.378 0.926 1
Rb8 Rb 0.681 0.320 0.799 1
Rb9 Rb 0.288 0.378 0.426 1
Rb10 Rb 0.819 0.320 0.299 1
Rb11 Rb 0.345 0.059 0.630 1
Rb12 Rb 0.155 0.059 0.130 1
Be1 Be 0.434 0.861 0.959 1
Be2 Be 0.066 0.861 0.459 1
Be3 Be 0.934 0.139 0.541 1
Be4 Be 0.566 0.139 0.041 1
Se1 Se 0.918 0.935 0.606 1
Se2 Se 0.582 0.935 0.106 1
Se3 Se 0.178 0.739 0.966 1
Se4 Se 0.322 0.739 0.466 1
Se5 Se 0.529 0.662 0.859 1
Se6 Se 0.971 0.662 0.359 1
Se7 Se 0.029 0.338 0.641 1
Se8 Se 0.471 0.338 0.141 1
Se9 Se 0.678 0.261 0.534 1
Se10 Se 0.822 0.261 0.034 1
Se11 Se 0.418 0.065 0.894 1
Se12 Se 0.082 0.065 0.394 1
```

Its formation energy without anion corrections is -0.92 eV/atom. The value obtained for the total magnetization is 3.890 Bohr magnetons per cell. The density of states at the Fermi level is 0.022 states/eV/atom.

---

6.
# RbBeSe3

RbBeSe3 after structural relaxation (GGA-PBE, Alexandria via LeMat-Bulk).

CIF file:
```
data_RbBeSe3
_symmetry_space_group_name_H-M 'P 1'
_symmetry_Int_Tables_number 1
_cell_length_a 6.489
_cell_length_b 7.886
_cell_length_c 7.886
_cell_angle_alpha 130.32
_cell_angle_beta 99.41
_cell_angle_gamma 99.41
loop_
_symmetry_equiv_pos_as_xyz
'x,y,z'
loop_
_atom_site_label
_atom_site_type_symbol
_atom_site_fract_x
_atom_site_fract_y
_atom_site_fract_z
_atom_site_occupancy
Rb1 Rb 0.514 0.484 0.151 1
Rb2 Rb 0.014 0.151 0.484 1
Be1 Be 0.415 0.758 0.699 1
Be2 Be 0.915 0.699 0.758 1
Se1 Se 0.130 0.710 0.019 1
Se2 Se 0.630 0.019 0.710 1
Se3 Se 0.978 0.084 0.932 1
Se4 Se 0.478 0.932 0.084 1
Se5 Se 0.561 0.490 0.631 1
Se6 Se 0.061 0.631 0.490 1
```

Its formation energy without anion corrections is -0.65 eV/atom. The value obtained for the total magnetization is 0.000 Bohr magnetons per cell. The density of states at the Fermi level is 0.324 states/eV/atom.

---

7.
# RbBeSe3

RbBeSe3 after structural relaxation (GGA-PBE, Alexandria via LeMat-Bulk).

CIF file:
```
data_RbBeSe3
_symmetry_space_group_name_H-M 'P 1'
_symmetry_Int_Tables_number 1
_cell_length_a 6.503
_cell_length_b 6.503
_cell_length_c 6.503
_cell_angle_alpha 90.00
_cell_angle_beta 90.00
_cell_angle_gamma 90.00
loop_
_symmetry_equiv_pos_as_xyz
'x,y,z'
loop_
_atom_site_label
_atom_site_type_symbol
_atom_site_fract_x
_atom_site_fract_y
_atom_site_fract_z
_atom_site_occupancy
Be1 Be 0.500 0.500 0.500 1
Se1 Se 0.000 0.500 0.000 1
Se2 Se 0.000 0.000 0.500 1
Se3 Se 0.500 0.000 0.000 1
Rb1 Rb 0.000 0.000 0.000 1
```

Its formation energy without anion corrections is 1.47 eV/atom. The value obtained for the total magnetization is 5.000 Bohr magnetons per cell. The density of states at the Fermi level is 1.287 states/eV/atom.

---

8.
# Rb2BeSe

Rb2BeSe after structural relaxation (GGA-PBE, Alexandria via LeMat-Bulk).

CIF file:
```
data_Rb2BeSe
_symmetry_space_group_name_H-M 'P 1'
_symmetry_Int_Tables_number 1
_cell_length_a 5.829
_cell_length_b 5.829
_cell_length_c 5.829
_cell_angle_alpha 60.00
_cell_angle_beta 60.00
_cell_angle_gamma 60.00
loop_
_symmetry_equiv_pos_as_xyz
'x,y,z'
loop_
_atom_site_label
_atom_site_type_symbol
_atom_site_fract_x
_atom_site_fract_y
_atom_site_fract_z
_atom_site_occupancy
Be1 Be 0.000 0.000 0.000 1
Se1 Se 0.500 0.500 0.500 1
Rb1 Rb 0.250 0.250 0.250 1
Rb2 Rb 0.750 0.750 0.750 1
```

Its formation energy without anion corrections is 0.04 eV/atom. The value obtained for the total magnetization is 0.000 Bohr magnetons per cell. The density of states at the Fermi level is 0.000 states/eV/atom.

---

9.
# RbBeSe3

RbBeSe3 after structural relaxation (GGA-PBE, Alexandria via LeMat-Bulk).

CIF file:
```
data_RbBeSe3
_symmetry_space_group_name_H-M 'P 1'
_symmetry_Int_Tables_number 1
_cell_length_a 4.881
_cell_length_b 4.881
_cell_length_c 4.881
_cell_angle_alpha 90.00
_cell_angle_beta 90.00
_cell_angle_gamma 90.00
loop_
_symmetry_equiv_pos_as_xyz
'x,y,z'
loop_
_atom_site_label
_atom_site_type_symbol
_atom_site_fract_x
_atom_site_fract_y
_atom_site_fract_z
_atom_site_occupancy
Be1 Be 0.000 0.000 0.000 1
Se1 Se 0.000 0.500 0.000 1
Se2 Se 0.000 0.000 0.500 1
Se3 Se 0.500 0.000 0.000 1
Rb1 Rb 0.500 0.500 0.500 1
```

Its formation energy without anion corrections is -0.19 eV/atom. The value obtained for the total magnetization is 0.000 Bohr magnetons per cell. The density of states at the Fermi level is 1.030 states/eV/atom.

---

10.
# Rb2Be2Se3

Rb2Be2Se3 after structural relaxation (GGA-PBE, Alexandria via LeMat-Bulk).

CIF file:
```
data_Rb2Be2Se3
_symmetry_space_group_name_H-M 'P 1'
_symmetry_Int_Tables_number 1
_cell_length_a 3.755
_cell_length_b 7.526
_cell_length_c 15.846
_cell_angle_alpha 28.80
_cell_angle_beta 83.19
_cell_angle_gamma 75.55
loop_
_symmetry_equiv_pos_as_xyz
'x,y,z'
loop_
_atom_site_label
_atom_site_type_symbol
_atom_site_fract_x
_atom_site_fract_y
_atom_site_fract_z
_atom_site_occupancy
Rb1 Rb 0.495 0.801 0.209 1
Rb2 Rb 0.505 0.199 0.791 1
Be1 Be 0.807 0.078 0.309 1
Be2 Be 0.193 0.922 0.691 1
Se1 Se 0.000 0.500 0.500 1
Se2 Se 0.204 0.389 0.204 1
Se3 Se 0.796 0.611 0.796 1
```

Its formation energy without anion corrections is -0.86 eV/atom. The value obtained for the total magnetization is 0.000 Bohr magnetons per cell.

---

11.
# Rb3BeSe

Rb3BeSe after structural relaxation (GGA-PBE, Alexandria via LeMat-Bulk).

CIF file:
```
data_Rb3BeSe
_symmetry_space_group_name_H-M 'P 1'
_symmetry_Int_Tables_number 1
_cell_length_a 6.620
_cell_length_b 6.620
_cell_length_c 6.620
_cell_angle_alpha 90.00
_cell_angle_beta 90.00
_cell_angle_gamma 90.00
loop_
_symmetry_equiv_pos_as_xyz
'x,y,z'
loop_
_atom_site_label
_atom_site_type_symbol
_atom_site_fract_x
_atom_site_fract_y
_atom_site_fract_z
_atom_site_occupancy
Be1 Be 0.500 0.500 0.500 1
Se1 Se 0.000 0.000 0.000 1
Rb1 Rb 0.000 0.500 0.000 1
Rb2 Rb 0.000 0.000 0.500 1
Rb3 Rb 0.500 0.000 0.000 1
```

Its formation energy without anion corrections is 0.05 eV/atom. The value obtained for the total magnetization is 0.807 Bohr magnetons per cell. The density of states at the Fermi level is 0.737 states/eV/atom.

---

12.
# Rb2BeSe

Rb2BeSe after structural relaxation (GGA-PBE, Alexandria via LeMat-Bulk).

CIF file:
```
data_Rb2BeSe
_symmetry_space_group_name_H-M 'P 1'
_symmetry_Int_Tables_number 1
_cell_length_a 6.285
_cell_length_b 6.285
_cell_length_c 11.113
_cell_angle_alpha 73.58
_cell_angle_beta 73.58
_cell_angle_gamma 90.00
loop_
_symmetry_equiv_pos_as_xyz
'x,y,z'
loop_
_atom_site_label
_atom_site_type_symbol
_atom_site_fract_x
_atom_site_fract_y
_atom_site_fract_z
_atom_site_occupancy
Be1 Be 0.500 0.500 0.000 1
Be2 Be 0.250 0.750 0.500 1
Se1 Se 0.000 0.000 0.000 1
Se2 Se 0.750 0.250 0.500 1
Rb1 Rb 0.658 0.125 0.250 1
Rb2 Rb 0.092 0.625 0.250 1
Rb3 Rb 0.375 0.342 0.750 1
Rb4 Rb 0.875 0.908 0.750 1
```

Its formation energy without anion corrections is 0.31 eV/atom. The value obtained for the total magnetization is 0.000 Bohr magnetons per cell. The density of states at the Fermi level is 0.000 states/eV/atom.